## Ta2MnH2 (GGA-PBE)

Data for an optimized crystal structure of Ta2MnH2.

The structure belongs to space group I4/mmm (No. 139); the cell edges are 2.9985, 2.9985 and 11.6728 Å and the angles 90.00°, 90.00° and 90.00°. The inequivalent atoms are Ta at (0.0000, 0.0000, 0.1337), Mn at (0.0000, 0.0000, 0.5000) and H at (0.0000, 0.5000, 0.2500).

The calculation puts the relative energy among the computed polymorphs at 0 meV/atom. Its magnetization is 0.00 μB per formula unit. As for the volume: 10.495 Å³/atom.

## TaMn3H (GGA-PBE)

Data for an optimized crystal structure of TaMn3H.

The structure belongs to space group Pm-3m (No. 221); the cell edges are 3.7852, 3.7852 and 3.7852 Å and the angles 90.00°, 90.00° and 90.00°. The inequivalent atoms are Ta at (0.0000, 0.0000, 0.0000), Mn at (0.0000, 0.5000, 0.5000) and H at (0.5000, 0.5000, 0.5000).

Its magnetization is 4.62 μB per formula unit. The total energy is -8.535 eV/atom. As for the volume: 10.847 Å³/atom.